Ca4GeP: optimized geometry, PBE.

POSCAR file:
```
Ca4GeP
1.0
4.9667 0.0000 0.0000
0.0000 4.9667 0.0000
0.0000 0.0000 7.0046
Ca Ge P
4 1 1
Direct
0.0000 0.5000 0.2472
0.0000 0.5000 0.7528
0.5000 0.0000 0.2472
0.5000 0.0000 0.7528
0.0000 0.0000 0.5000
0.5000 0.5000 0.0000
```

Calculated values
- crystal system = tetragonal
- formation energy from the elements (eV/atom) = -0.7577

Ca2Ge2P: optimized geometry, PBE.

POSCAR file:
```
Ca2Ge2P
1.0
7.1968 0.0000 0.0000
0.0000 7.1968 0.0000
0.0000 0.0000 4.3825
Ca Ge P
4 4 2
Direct
0.1774 0.3226 0.0000
0.3226 0.8226 0.0000
0.6774 0.1774 0.0000
0.8226 0.6774 0.0000
0.1253 0.6253 0.5000
0.3747 0.1253 0.5000
0.6253 0.8747 0.5000
0.8747 0.3747 0.5000
0.0000 0.0000 0.5000
0.5000 0.5000 0.5000
```

Calculated values
- crystal system = tetragonal
- formation energy from the elements (eV/atom) = -0.4719

CaGe2P2: optimized geometry, PBE.

POSCAR file:
```
CaGe2P2
1.0
3.9520 0.0000 0.0000
0.0000 3.9520 0.0000
0.0000 0.0000 13.1634
Ca Ge P
2 4 4
Direct
0.0000 0.0000 0.0000
0.5000 0.5000 0.5000
0.0000 0.5000 0.2500
0.0000 0.5000 0.7500
0.5000 0.0000 0.2500
0.5000 0.0000 0.7500
0.0000 0.0000 0.4171
0.0000 0.0000 0.5829
0.5000 0.5000 0.0829
0.5000 0.5000 0.9171
```

Calculated values
- crystal system = tetragonal
- formation energy from the elements (eV/atom) = -0.2174

CaGe2P2: optimized geometry, PBE.

POSCAR file:
```
CaGe2P2
1.0
7.7713 0.0000 0.0000
0.0000 7.7713 0.0000
0.0000 0.0000 3.6032
Ca Ge P
2 4 4
Direct
0.0000 0.0000 0.0000
0.5000 0.5000 0.0000
0.1105 0.3895 0.0000
0.3895 0.8895 0.0000
0.6105 0.1105 0.0000
0.8895 0.6105 0.0000
0.2452 0.2548 0.5000
0.2548 0.7548 0.5000
0.7452 0.2452 0.5000
0.7548 0.7452 0.5000
```

Calculated values
- crystal system = tetragonal
- formation energy from the elements (eV/atom) = -0.1181

Ca2GeP3Pd4: optimized geometry, PBE.

POSCAR file:
```
Ca2GeP3Pd4
1.0
4.1939 0.0000 0.0000
0.0000 4.1939 0.0000
0.0000 0.0000 10.1518
Ca Ge P Pd
2 1 3 4
Direct
0.0000 0.5000 0.2438
0.5000 0.0000 0.7562
0.0000 0.0000 0.5000
0.0000 0.5000 0.8686
0.5000 0.0000 0.1314
0.5000 0.5000 0.5000
0.0000 0.0000 0.0000
0.0000 0.5000 0.6370
0.5000 0.0000 0.3630
0.5000 0.5000 0.0000
```

Calculated values
- crystal system = tetragonal
- formation energy from the elements (eV/atom) = -0.7528

Ca3GeP2Pd9: optimized geometry, PBE.

POSCAR file:
```
Ca3GeP2Pd9
1.0
6.3215 0.0000 0.0000
-3.1608 5.4746 0.0000
0.0000 0.0000 8.6499
Ca Ge P Pd
3 1 2 9
Direct
0.0000 0.0000 0.0000
0.3333 0.6667 0.6651
0.6667 0.3333 0.3349
0.0000 0.0000 0.5000
0.3333 0.6667 0.1699
0.6667 0.3333 0.8301
0.0000 0.5000 0.0000
0.1493 0.2986 0.2875
0.1493 0.8507 0.2875
0.2986 0.1493 0.7125
0.5000 0.0000 0.0000
0.5000 0.5000 0.0000
0.7014 0.8507 0.2875
0.8507 0.1493 0.7125
0.8507 0.7014 0.7125
```

Calculated values
- crystal system = trigonal
- formation energy from the elements (eV/atom) = -0.6644

Question: Among the records above, which one has the highest formation energy from the elements?
Answer: number 4

Question: Number 1 is which compound?
Answer: Ca4GeP

Question: Which of these has the lowest formation energy from the elements?
Answer: Ca4GeP

Question: Which formula does entry 2 have?
Answer: Ca2Ge2P